Compound: Dy8Mg2Pd
Source: Alexandria
Functional: PBE
Structure: relaxed

The value obtained for the energy relative to the elements is -109 meV/atom. Its volume is 314.0 Å³/cell. Its density of states at the Fermi level is 10.8 states/eV/cell. Its space-group type is No. 12.

Cell and atoms, written as extended XYZ:
```
11
Lattice="-1.203 -2.226 4.837 3.543 -5.819 -1.796 5.881 6.826 1.524" Properties=species:S:1:pos:R:3 pbc="T T T"
Dy 5.306 3.098 5.826
Dy 2.915 -4.317 -1.262
Dy 5.258 -1.927 3.502
Dy 4.297 -4.839 1.923
Dy 3.924 3.620 2.642
Dy 1.934 -2.437 2.440
Dy 6.287 1.218 2.125
Dy 2.963 0.708 1.063
Mg 3.821 0.716 4.361
Mg 4.400 -1.936 0.204
Pd -0.602 -1.113 2.418
```